The following is a PBE-GGA calculation of crystalline YSi3Sb at its relaxed geometry, from Alexandria via LeMat-Bulk.

Results
**Space-group type**: Pm-3m (221)
**Energy above the most stable polymorph in this dataset**: 263 meV per atom
**Formation energy without anion corrections**: 552 kJ/mol of formula units
**VASP energy**: -21.13 eV per formula unit

a b c (Å): 5.295 5.295 5.295
angles (deg): 90.00 90.00 90.00
Sites, in units of the cell vectors:
Y: 0.000 0.000 0.000
Si: 0.000 0.000 0.500
Si: 0.000 0.500 0.000
Si: 0.500 0.000 0.000
Sb: 0.500 0.500 0.500